[1]
Compound: Pr4Cd2O
Source: Alexandria
Functional: GGA-PBE
Structure: relaxed

Uncorrected formation energy   -0.6448 eV per atom
Total magnetization   0.00 μB/f.u.
Symmetry   Cmmm, No. 65
Mass density   6.0 g cm⁻³

```
Pr4Cd2O
1.0
-0.565 3.356 -0.972
-4.746 -1.207 -1.409
-1.661 3.214 12.056
Pr Cd O
4 2 1
Direct
0.000 0.700 0.399
0.500 0.432 0.865
0.000 0.300 0.601
0.500 0.568 0.135
0.500 0.156 0.313
0.500 0.844 0.687
0.000 0.500 0.000
```


[2]
Compound: DyYEr
Source: Alexandria
Functional: GGA-PBE
Structure: relaxed

DFT formation energy   27 meV/atom
Total magnetization   0.00 μB/f.u.
Symmetry   P3m1, No. 156
Mass density   7.4 g cm⁻³

```
DyYEr
1.0
3.543 0.000 0.000
-1.771 3.068 0.000
0.000 0.000 8.655
Y Er Dy
1 1 1
Direct
0.000 0.000 0.999
0.333 0.667 0.666
0.667 0.333 0.335
```


[3]
Compound: Rb4NaHg3
Source: Alexandria
Functional: GGA-PBE
Structure: relaxed

DFT formation energy   -168 meV/atom
Total magnetization   0.00 μB/f.u.
Symmetry   Pmm2, No. 25
Mass density   4.1 g cm⁻³

```
Rb4NaHg3
1.0
5.375 0.000 0.000
0.000 5.332 0.000
0.000 0.000 13.719
Na Rb Hg
1 4 3
Direct
0.500 0.500 0.056
0.500 0.000 0.645
0.000 0.000 0.152
0.500 0.500 0.368
0.000 0.500 0.844
0.500 0.000 0.930
0.000 0.000 0.443
0.000 0.500 0.561
```